(1)
TcF6 | PBE | relaxed

Fermi-level density of states	16.25	states/eV per cell
calculated volume	135.5	Å³/f.u.
energy relative to the elements, uncorrected	-1.94	eV per atom

The structure in CIF format:
```
data_TcF6
_chemical_formula_sum 'Tc2 F12'
_space_group_name_H-M_alt 'I m -3 m'
_space_group_IT_number 229
_space_group_name_Hall '-I 4 2 3'
_cell_length_a 6.472
_cell_length_b 6.472
_cell_length_c 6.472
_cell_angle_alpha 90.00
_cell_angle_beta 90.00
_cell_angle_gamma 90.00
loop_
_atom_site_label
_atom_site_type_symbol
_atom_site_fract_x
_atom_site_fract_y
_atom_site_fract_z
Tc1 Tc 0.000 0.000 0.000
F1 F 0.000 0.000 0.287
```



(2)
TcF6 | PBE | relaxed

Fermi-level density of states	7.28	states/eV per cell
calculated volume	111.1	Å³/f.u.
energy relative to the elements, uncorrected	-1.95	eV per atom

The structure in CIF format:
```
data_TcF6
_chemical_formula_sum 'Tc1 F6'
_space_group_name_H-M_alt 'P -3 1 m'
_space_group_IT_number 162
_space_group_name_Hall '-P 3 2'
_cell_length_a 5.1627
_cell_length_b 5.1627
_cell_length_c 4.8115
_cell_angle_alpha 90.00
_cell_angle_beta 90.00
_cell_angle_gamma 120.00
loop_
_atom_site_label
_atom_site_type_symbol
_atom_site_fract_x
_atom_site_fract_y
_atom_site_fract_z
Tc1 Tc 0.0000 0.0000 0.0000
F1 F 0.0000 0.2939 0.7771
```



(3)
TcF5 | PBE | relaxed

calculated volume	103.5	Å³/f.u.
energy relative to the elements, uncorrected	-1.93	eV per atom

The structure in CIF format:
```
data_TcF5
_chemical_formula_sum 'Tc2 F10'
_space_group_name_H-M_alt 'P 63/m m c'
_space_group_IT_number 194
_space_group_name_Hall '-P 6c 2c'
_cell_length_a 5.9208
_cell_length_b 5.9208
_cell_length_c 6.8162
_cell_angle_alpha 90.00
_cell_angle_beta 90.00
_cell_angle_gamma 120.00
loop_
_atom_site_label
_atom_site_type_symbol
_atom_site_fract_x
_atom_site_fract_y
_atom_site_fract_z
Tc1 Tc 0.3333 0.6667 0.2500
F1 F 0.1561 0.3122 0.2500
F2 F 0.3333 0.6667 0.5315
```



(4)
Tc2F13 | PBE | relaxed

Fermi-level density of states	9.08	states/eV per cell
calculated volume	231.0	Å³/f.u.
energy relative to the elements, uncorrected	-1.71	eV per atom

The structure in CIF format:
```
data_Tc2F13
_chemical_formula_sum 'Tc2 F13'
_space_group_name_H-M_alt 'P -1'
_space_group_IT_number 2
_cell_length_a 5.115
_cell_length_b 6.606
_cell_length_c 7.688
_cell_angle_alpha 65.25
_cell_angle_beta 81.25
_cell_angle_gamma 79.24
loop_
_space_group_symop_operation_xyz
'x,y,z'
'-x,-y,-z'
loop_
_atom_site_label
_atom_site_type_symbol
_atom_site_fract_x
_atom_site_fract_y
_atom_site_fract_z
Tc1 Tc 0.175 0.124 0.227
F1 F 0.000 0.000 0.500
F2 F 0.095 0.875 0.202
F3 F 0.155 0.719 0.858
F4 F 0.232 0.368 0.270
F5 F 0.339 0.232 0.980
F6 F 0.380 0.503 0.560
F7 F 0.495 0.966 0.327
```



(5)
TcTe3F | PBE | relaxed

Fermi-level density of states	2.62	states/eV per cell
calculated volume	110.6	Å³/f.u.
energy relative to the elements, uncorrected	0.76	eV per atom

The structure in CIF format:
```
data_TcTe3F
_chemical_formula_sum 'Tc1 Te3 F1'
_space_group_name_H-M_alt 'P m -3 m'
_space_group_IT_number 221
_space_group_name_Hall '-P 4 2 3'
_cell_length_a 4.799
_cell_length_b 4.799
_cell_length_c 4.799
_cell_angle_alpha 90.00
_cell_angle_beta 90.00
_cell_angle_gamma 90.00
loop_
_atom_site_label
_atom_site_type_symbol
_atom_site_fract_x
_atom_site_fract_y
_atom_site_fract_z
Tc1 Tc 0.000 0.000 0.000
Te1 Te 0.000 0.500 0.500
F1 F 0.500 0.500 0.500
```



(6)
Tc2TeF | PBE | relaxed

Fermi-level density of states	9.55	states/eV per cell
calculated volume	69.7	Å³/f.u.
energy relative to the elements, uncorrected	-0.02	eV per atom

The structure in CIF format:
```
data_Tc2TeF
_chemical_formula_sum 'Tc8 Te4 F4'
_space_group_name_H-M_alt 'I -4 2 d'
_space_group_IT_number 122
_space_group_name_Hall 'I -4 2bw'
_cell_length_a 4.173
_cell_length_b 4.173
_cell_length_c 16.013
_cell_angle_alpha 90.00
_cell_angle_beta 90.00
_cell_angle_gamma 90.00
loop_
_atom_site_label
_atom_site_type_symbol
_atom_site_fract_x
_atom_site_fract_y
_atom_site_fract_z
Tc1 Tc 0.152 0.250 0.125
Te1 Te 0.000 0.000 0.500
F1 F 0.000 0.000 0.000
```



(7)
Tc2TeF | PBE | relaxed

Fermi-level density of states	14.17	states/eV per cell
calculated volume	60.9	Å³/f.u.
energy relative to the elements, uncorrected	0.14	eV per atom

The structure in CIF format:
```
data_Tc2TeF
_chemical_formula_sum 'Tc8 Te4 F4'
_space_group_name_H-M_alt 'F m -3 m'
_space_group_IT_number 225
_space_group_name_Hall '-F 4 2 3'
_cell_length_a 6.247
_cell_length_b 6.247
_cell_length_c 6.247
_cell_angle_alpha 90.00
_cell_angle_beta 90.00
_cell_angle_gamma 90.00
loop_
_atom_site_label
_atom_site_type_symbol
_atom_site_fract_x
_atom_site_fract_y
_atom_site_fract_z
Tc1 Tc 0.250 0.250 0.250
Te1 Te 0.000 0.000 0.000
F1 F 0.000 0.000 0.500
```



(8)
TcTe3F | PBE | relaxed

Fermi-level density of states	6.61	states/eV per cell
calculated volume	137.5	Å³/f.u.
energy relative to the elements, uncorrected	0.21	eV per atom

The structure in CIF format:
```
data_TcTe3F
_chemical_formula_sum 'Tc1 Te3 F1'
_space_group_name_H-M_alt 'P m -3 m'
_space_group_IT_number 221
_space_group_name_Hall '-P 4 2 3'
_cell_length_a 5.161
_cell_length_b 5.161
_cell_length_c 5.161
_cell_angle_alpha 90.00
_cell_angle_beta 90.00
_cell_angle_gamma 90.00
loop_
_atom_site_label
_atom_site_type_symbol
_atom_site_fract_x
_atom_site_fract_y
_atom_site_fract_z
Tc1 Tc 0.000 0.000 0.000
Te1 Te 0.000 0.000 0.500
F1 F 0.500 0.500 0.500
```



(9)
TiTc3F | PBE | relaxed

Fermi-level density of states	7.31	states/eV per cell
calculated volume	96.9	Å³/f.u.
energy relative to the elements, uncorrected	1.62	eV per atom

The structure in CIF format:
```
data_TiTc3F
_chemical_formula_sum 'Ti1 Tc3 F1'
_space_group_name_H-M_alt 'P m -3 m'
_space_group_IT_number 221
_space_group_name_Hall '-P 4 2 3'
_cell_length_a 4.593
_cell_length_b 4.593
_cell_length_c 4.593
_cell_angle_alpha 90.00
_cell_angle_beta 90.00
_cell_angle_gamma 90.00
loop_
_atom_site_label
_atom_site_type_symbol
_atom_site_fract_x
_atom_site_fract_y
_atom_site_fract_z
Ti1 Ti 0.000 0.000 0.000
Tc1 Tc 0.000 0.000 0.500
F1 F 0.500 0.500 0.500
```



(10)
TiTcF2 | PBE | relaxed

Fermi-level density of states	12.10	states/eV per cell
calculated volume	52.1	Å³/f.u.
energy relative to the elements, uncorrected	-0.46	eV per atom

The structure in CIF format:
```
data_TiTcF2
_chemical_formula_sum 'Ti4 Tc4 F8'
_space_group_name_H-M_alt 'F m -3 m'
_space_group_IT_number 225
_space_group_name_Hall '-F 4 2 3'
_cell_length_a 5.927
_cell_length_b 5.927
_cell_length_c 5.927
_cell_angle_alpha 90.00
_cell_angle_beta 90.00
_cell_angle_gamma 90.00
loop_
_atom_site_label
_atom_site_type_symbol
_atom_site_fract_x
_atom_site_fract_y
_atom_site_fract_z
Ti1 Ti 0.000 0.000 0.000
Tc1 Tc 0.000 0.000 0.500
F1 F 0.250 0.250 0.250
```



(11)
TiTcF2 | PBE | relaxed

Fermi-level density of states	8.84	states/eV per cell
calculated volume	61.2	Å³/f.u.
energy relative to the elements, uncorrected	-0.98	eV per atom

The structure in CIF format:
```
data_TiTcF2
_chemical_formula_sum 'Ti3 Tc3 F6'
_space_group_name_H-M_alt 'R -3 m'
_space_group_IT_number 166
_space_group_name_Hall '-R 3 2"'
_cell_length_a 2.7737
_cell_length_b 2.7737
_cell_length_c 27.5464
_cell_angle_alpha 90.00
_cell_angle_beta 90.00
_cell_angle_gamma 120.00
loop_
_atom_site_label
_atom_site_type_symbol
_atom_site_fract_x
_atom_site_fract_y
_atom_site_fract_z
Ti1 Ti 0.0000 0.0000 0.0000
Tc1 Tc 0.0000 0.0000 0.5000
F1 F 0.0000 0.0000 0.0660
```



(12)
TiTc3F | PBE | relaxed

Fermi-level density of states	7.16	states/eV per cell
calculated volume	71.8	Å³/f.u.
energy relative to the elements, uncorrected	0.57	eV per atom

The structure in CIF format:
```
data_TiTc3F
_chemical_formula_sum 'Ti1 Tc3 F1'
_space_group_name_H-M_alt 'P m -3 m'
_space_group_IT_number 221
_space_group_name_Hall '-P 4 2 3'
_cell_length_a 4.156
_cell_length_b 4.156
_cell_length_c 4.156
_cell_angle_alpha 90.00
_cell_angle_beta 90.00
_cell_angle_gamma 90.00
loop_
_atom_site_label
_atom_site_type_symbol
_atom_site_fract_x
_atom_site_fract_y
_atom_site_fract_z
Ti1 Ti 0.000 0.000 0.000
Tc1 Tc 0.000 0.500 0.500
F1 F 0.500 0.500 0.500
```



(13)
TiTcF2 | PBE | relaxed

Fermi-level density of states	9.49	states/eV per cell
calculated volume	47.5	Å³/f.u.
energy relative to the elements, uncorrected	-1.36	eV per atom

The structure in CIF format:
```
data_TiTcF2
_chemical_formula_sum 'Ti3 Tc3 F6'
_space_group_name_H-M_alt 'R -3 m'
_space_group_IT_number 166
_space_group_name_Hall '-R 3 2"'
_cell_length_a 2.7074
_cell_length_b 2.7074
_cell_length_c 22.4514
_cell_angle_alpha 90.00
_cell_angle_beta 90.00
_cell_angle_gamma 120.00
loop_
_atom_site_label
_atom_site_type_symbol
_atom_site_fract_x
_atom_site_fract_y
_atom_site_fract_z
Ti1 Ti 0.0000 0.0000 0.0000
Tc1 Tc 0.0000 0.0000 0.5000
F1 F 0.0000 0.0000 0.4012
```



(14)
TiTcF3 | PBE | relaxed

Fermi-level density of states	10.25	states/eV per cell
calculated volume	72.7	Å³/f.u.
energy relative to the elements, uncorrected	-0.54	eV per atom

The structure in CIF format:
```
data_TiTcF3
_chemical_formula_sum 'Ti1 Tc1 F3'
_space_group_name_H-M_alt 'P m -3 m'
_space_group_IT_number 221
_space_group_name_Hall '-P 4 2 3'
_cell_length_a 4.173
_cell_length_b 4.173
_cell_length_c 4.173
_cell_angle_alpha 90.00
_cell_angle_beta 90.00
_cell_angle_gamma 90.00
loop_
_atom_site_label
_atom_site_type_symbol
_atom_site_fract_x
_atom_site_fract_y
_atom_site_fract_z
Ti1 Ti 0.000 0.000 0.000
Tc1 Tc 0.500 0.500 0.500
F1 F 0.000 0.500 0.500
```



(15)
TiTcF2 | PBE | relaxed

Fermi-level density of states	5.37	states/eV per cell
calculated volume	50.3	Å³/f.u.
energy relative to the elements, uncorrected	-1.04	eV per atom

The structure in CIF format:
```
data_TiTcF2
_chemical_formula_sum 'Ti4 Tc4 F8'
_space_group_name_H-M_alt 'I -4 2 d'
_space_group_IT_number 122
_space_group_name_Hall 'I -4 2bw'
_cell_length_a 3.655
_cell_length_b 3.655
_cell_length_c 15.065
_cell_angle_alpha 90.00
_cell_angle_beta 90.00
_cell_angle_gamma 90.00
loop_
_atom_site_label
_atom_site_type_symbol
_atom_site_fract_x
_atom_site_fract_y
_atom_site_fract_z
Ti1 Ti 0.000 0.000 0.000
Tc1 Tc 0.000 0.000 0.500
F1 F 0.237 0.250 0.125
```



(16)
TiTcF3 | PBE | relaxed

Fermi-level density of states	13.51	states/eV per cell
calculated volume	70.2	Å³/f.u.
energy relative to the elements, uncorrected	-1.24	eV per atom

The structure in CIF format:
```
data_TiTcF3
_chemical_formula_sum 'Ti1 Tc1 F3'
_space_group_name_H-M_alt 'P m -3 m'
_space_group_IT_number 221
_space_group_name_Hall '-P 4 2 3'
_cell_length_a 4.126
_cell_length_b 4.126
_cell_length_c 4.126
_cell_angle_alpha 90.00
_cell_angle_beta 90.00
_cell_angle_gamma 90.00
loop_
_atom_site_label
_atom_site_type_symbol
_atom_site_fract_x
_atom_site_fract_y
_atom_site_fract_z
Ti1 Ti 0.000 0.000 0.000
Tc1 Tc 0.500 0.500 0.500
F1 F 0.000 0.000 0.500
```



(17)
TlTcF4 | PBE | relaxed

Fermi-level density of states	6.72	states/eV per cell
calculated volume	118.6	Å³/f.u.
energy relative to the elements, uncorrected	-1.79	eV per atom

The structure in CIF format:
```
data_TlTcF4
_chemical_formula_sum 'Tl2 Tc2 F8'
_space_group_name_H-M_alt 'P 4/n m m'
_space_group_IT_number 129
_cell_length_a 8.622
_cell_length_b 8.622
_cell_length_c 3.192
_cell_angle_alpha 90.00
_cell_angle_beta 90.00
_cell_angle_gamma 90.00
loop_
_space_group_symop_operation_xyz
'x,y,z'
'-x,-y,-z'
'-y+1/2,x,z'
'y+1/2,-x,-z'
'-x+1/2,-y+1/2,z'
'x+1/2,y+1/2,-z'
'y,-x+1/2,z'
'-y,x+1/2,-z'
'x+1/2,-y,-z'
'-x+1/2,y,z'
'-y,-x,-z'
'y,x,z'
'-x,y+1/2,-z'
'x,-y+1/2,z'
'y+1/2,x+1/2,-z'
'-y+1/2,-x+1/2,z'
loop_
_atom_site_label
_atom_site_type_symbol
_atom_site_fract_x
_atom_site_fract_y
_atom_site_fract_z
Tl1 Tl 0.250 0.250 0.002
Tc1 Tc 0.250 0.750 0.500
F1 F 0.025 0.750 0.499
```



(18)
Tl3TcF6 | PBE | relaxed

Fermi-level density of states	19.05	states/eV per cell
calculated volume	211.6	Å³/f.u.
energy relative to the elements, uncorrected	-1.82	eV per atom

The structure in CIF format:
```
data_Tl3TcF6
_chemical_formula_sum 'Tl12 Tc4 F24'
_space_group_name_H-M_alt 'F m m m'
_space_group_IT_number 69
_space_group_name_Hall '-F 2 2'
_cell_length_a 7.611
_cell_length_b 9.426
_cell_length_c 11.799
_cell_angle_alpha 90.00
_cell_angle_beta 90.00
_cell_angle_gamma 90.00
loop_
_atom_site_label
_atom_site_type_symbol
_atom_site_fract_x
_atom_site_fract_y
_atom_site_fract_z
Tl1 Tl 0.000 0.000 0.000
Tl2 Tl 0.250 0.250 0.250
Tc1 Tc 0.000 0.000 0.500
F1 F 0.000 0.210 0.500
F2 F 0.186 0.000 0.377
```



(19)
TlTcF3 | PBE | relaxed

Fermi-level density of states	0.94	states/eV per cell
calculated volume	96.3	Å³/f.u.
energy relative to the elements, uncorrected	-1.66	eV per atom

The structure in CIF format:
```
data_TlTcF3
_chemical_formula_sum 'Tl4 Tc4 F12'
_space_group_name_H-M_alt 'C 1 2/m 1'
_space_group_IT_number 12
_cell_length_a 14.078
_cell_length_b 6.773
_cell_length_c 4.143
_cell_angle_alpha 90.00
_cell_angle_beta 102.72
_cell_angle_gamma 90.00
loop_
_space_group_symop_operation_xyz
'x,y,z'
'-x,-y,-z'
'-x,y,-z'
'x,-y,z'
'x+1/2,y+1/2,z'
'-x+1/2,-y+1/2,-z'
'-x+1/2,y+1/2,-z'
'x+1/2,-y+1/2,z'
loop_
_atom_site_label
_atom_site_type_symbol
_atom_site_fract_x
_atom_site_fract_y
_atom_site_fract_z
Tl1 Tl 0.170 0.000 0.224
Tc1 Tc 0.047 0.500 0.752
F1 F 0.000 0.257 0.000
F2 F 0.142 0.287 0.696
```



(20)
Tl3TcF | PBE | relaxed

Fermi-level density of states	1.33	states/eV per cell
calculated volume	127.8	Å³/f.u.
energy relative to the elements, uncorrected	0.22	eV per atom

The structure in CIF format:
```
data_Tl3TcF
_chemical_formula_sum 'Tl3 Tc1 F1'
_space_group_name_H-M_alt 'P m -3 m'
_space_group_IT_number 221
_space_group_name_Hall '-P 4 2 3'
_cell_length_a 5.037
_cell_length_b 5.037
_cell_length_c 5.037
_cell_angle_alpha 90.00
_cell_angle_beta 90.00
_cell_angle_gamma 90.00
loop_
_atom_site_label
_atom_site_type_symbol
_atom_site_fract_x
_atom_site_fract_y
_atom_site_fract_z
Tl1 Tl 0.000 0.000 0.500
Tc1 Tc 0.500 0.500 0.500
F1 F 0.000 0.000 0.000
```